# CdNi2O | the Alexandria database | PBE+U | relaxed
# - Fermi-level density of states: 2.8 states/eV per cell
# - V: 65.0 Å³/f.u.
# - Energy: -2.66 eV/atom
data_CdNi2O
_chemical_formula_sum 'Cd2 Ni4 O2'
_cell_length_a 4.823
_cell_length_b 4.823
_cell_length_c 6.551
_cell_angle_alpha 68.40
_cell_angle_beta 68.40
_cell_angle_gamma 90.00
_space_group_name_H-M_alt 'P 1'
_space_group_IT_number 1
loop_
_space_group_symop_operation_xyz
'x,y,z'
loop_
_atom_site_label
_atom_site_fract_x
_atom_site_fract_y
_atom_site_fract_z
Ni1 0.374 0.125 0.250
Ni2 0.376 0.625 0.250
Ni3 0.375 0.626 0.750
Ni4 0.875 0.624 0.750
O1 0.500 0.500 0.000
O2 0.250 0.750 0.500
Cd1 0.000 0.000 0.000
Cd2 0.750 0.250 0.500